## PbAu2C (SCAN)

Data for PbAu2C at its PBEsol-relaxed geometry.

a b c (Å): 6.553 6.553 6.553
angles (deg): 90.00 90.00 90.00
Positions (direct):
Pb (0.000, 0.000, 0.000)
Pb (0.000, 0.500, 0.500)
Pb (0.500, 0.000, 0.500)
Pb (0.500, 0.500, 0.000)
Au (0.250, 0.250, 0.250)
Au (0.250, 0.250, 0.750)
Au (0.250, 0.750, 0.250)
Au (0.250, 0.750, 0.750)
Au (0.750, 0.250, 0.250)
Au (0.750, 0.250, 0.750)
Au (0.750, 0.750, 0.250)
Au (0.750, 0.750, 0.750)
C (0.000, 0.000, 0.500)
C (0.000, 0.500, 0.000)
C (0.500, 0.000, 0.000)
C (0.500, 0.500, 0.500)

total magnetization: 0.00 μB/f.u.
DOS at the Fermi energy: 8.47 states/eV per cell
uncorrected energy: -4.008 Ry/atom
space-group type: No. 225
mass density: 14.47 g cm⁻³